Record 1
Density functional theory data (PBE) for an optimized crystal structure of ReRu4Au.

a = 5.063 Å, b = 5.063 Å, c = 5.063 Å
α = 60.00°, β = 60.00°, γ = 60.00°
Atoms (fractional coordinates):
Re  0.000  0.000  0.000
Ru  0.875  0.375  0.375
Ru  0.375  0.375  0.875
Ru  0.375  0.875  0.375
Ru  0.375  0.375  0.375
Au  0.750  0.750  0.750

Summary:
Its space group is No. 216. For the calculated formation energy, the calculation gives 0.609 eV per atom. As for the calculated total energy: -8.196 eV/atom. The mass density comes out at 14.25 Mg/m³.

=====

Record 2
Density functional theory data (PBE) for an optimized crystal structure of Na2SrH6Os.

a = 6.040 Å, b = 5.440 Å, c = 5.440 Å
α = 120.00°, β = 90.00°, γ = 90.00°
Atoms (fractional coordinates):
Na  0.065  0.333  0.667
Na  0.935  0.667  0.333
Sr  0.500  0.000  0.000
H  0.832  0.150  0.299
H  0.832  0.150  0.850
H  0.832  0.701  0.850
H  0.168  0.850  0.150
H  0.168  0.299  0.150
H  0.168  0.850  0.701
Os  0.000  0.000  0.000

Summary:
Its space group is No. 164. As for the calculated total energy: -3.853 eV/atom. The mass density comes out at 3.54 Mg/m³.

=====

Record 3
Density functional theory data (PBE) for an optimized crystal structure of TbSmI.

a = 3.712 Å, b = 3.712 Å, c = 7.522 Å
α = 104.29°, β = 104.29°, γ = 90.00°
Atoms (fractional coordinates):
I  0.331  0.331  0.662
Tb  0.670  0.670  0.340
Sm  0.999  0.999  0.997

Summary:
Its space group is No. 107. Its formation energy (no corrections) is -0.44 eV per atom. As for the calculated total energy: -4.069 eV/atom. The mass density comes out at 7.46 Mg/m³. Its polymorph energy (0 for the lowest one) is 96 meV/atom.

=====

Record 4
Density functional theory data (PBE) for an optimized crystal structure of CaYIn2Rh.

a = 5.260 Å, b = 5.134 Å, c = 5.260 Å
α = 90.00°, β = 90.00°, γ = 90.00°
Atoms (fractional coordinates):
Y  0.000  0.500  0.000
Ca  0.500  0.500  0.500
Rh  0.000  0.000  0.000
In  0.000  0.000  0.500
In  0.500  0.000  0.000

Summary:
Its space group is No. 123. For the calculated formation energy, the calculation gives -0.352 eV per atom. As for the calculated total energy: -4.611 eV/atom. The mass density comes out at 5.39 Mg/m³.

=====

Record 5
Density functional theory data (PBE) for an optimized crystal structure of Zn2TeRh.

a = 9.344 Å, b = 9.344 Å, c = 9.344 Å
α = 19.13°, β = 19.13°, γ = 19.13°
Atoms (fractional coordinates):
Rh  0.250  0.250  0.250
Te  0.750  0.750  0.750
Zn  0.983  0.983  0.983
Zn  0.517  0.517  0.517

Summary:
Its space group is No. 166. Its formation energy (no corrections) is 0.10 eV per atom. As for the calculated total energy: -3.162 eV/atom. The mass density comes out at 7.84 Mg/m³.

=====

Record 6
Density functional theory data (PBE) for an optimized crystal structure of Zr3Hg4.

a = 3.214 Å, b = 15.237 Å, c = 3.214 Å
α = 83.94°, β = 90.00°, γ = 96.06°
Atoms (fractional coordinates):
Hg  0.142  0.283  0.858
Hg  0.432  0.863  0.568
Hg  0.568  0.137  0.432
Hg  0.858  0.717  0.142
Zr  0.000  0.000  0.000
Zr  0.287  0.575  0.713
Zr  0.713  0.425  0.287

Summary:
Its space group is No. 139. For the calculated formation energy, the calculation gives -0.095 eV per atom. As for the calculated total energy: -3.931 eV/atom. The mass density comes out at 11.48 Mg/m³. Its polymorph energy (0 for the lowest one) is 0 meV/atom.

=====

Record 7
Density functional theory data (PBE) for an optimized crystal structure of As2OsSeS.

a = 4.766 Å, b = 4.766 Å, c = 4.920 Å
α = 90.00°, β = 90.00°, γ = 90.00°
Atoms (fractional coordinates):
As  0.000  0.500  0.000
As  0.500  0.000  0.000
Os  0.000  0.000  0.000
S  0.500  0.500  0.500
Se  0.000  0.000  0.500

Summary:
Its space group is No. 123. Its formation energy (no corrections) is 0.80 eV per atom. As for the calculated total energy: -4.833 eV/atom. The mass density comes out at 6.70 Mg/m³. Its polymorph energy (0 for the lowest one) is 0 meV/atom.

=====

Record 8
Density functional theory data (PBE) for an optimized crystal structure of Tm2CuBr.

a = 3.936 Å, b = 3.936 Å, c = 7.742 Å
α = 75.27°, β = 75.27°, γ = 60.00°
Atoms (fractional coordinates):
Tm  0.734  0.734  0.797
Tm  0.266  0.266  0.203
Cu  0.000  0.000  0.000
Br  0.500  0.500  0.500

Summary:
Its space group is No. 166. Its formation energy (no corrections) is -0.60 eV per atom. As for the calculated total energy: -4.278 eV/atom. The mass density comes out at 8.05 Mg/m³. Its polymorph energy (0 for the lowest one) is 0 meV/atom.

=====

Record 9
Density functional theory data (PBE) for an optimized crystal structure of K2NaAu2Cl6.

a = 7.124 Å, b = 7.788 Å, c = 7.810 Å
α = 117.23°, β = 90.00°, γ = 117.22°
Each line ends with the local moment (μB).
Atoms (fractional coordinates):
K  0.731  0.463  0.199  0.00
K  0.269  0.537  0.801  0.00
Na  0.500  0.000  0.500  0.00
Au  0.940  0.879  0.760  0.20
Au  0.060  0.121  0.240  0.20
Cl  0.743  0.487  0.623  0.04
Cl  0.171  0.846  0.185  0.08
Cl  0.324  0.154  0.815  0.08
Cl  0.829  0.154  0.815  0.08
Cl  0.676  0.846  0.185  0.08
Cl  0.257  0.513  0.377  0.04

Summary:
Its space group is No. 12. Its formation energy (no corrections) is -1.06 eV per atom. As for the calculated total energy: -2.980 eV/atom. The mass density comes out at 3.56 Mg/m³.

=====

Record 10
Density functional theory data (PBE) for an optimized crystal structure of CaSn2Ru2.

a = 7.779 Å, b = 7.779 Å, c = 3.185 Å
α = 90.00°, β = 90.00°, γ = 90.00°
Atoms (fractional coordinates):
Ru  0.360  0.860  0.000
Ru  0.860  0.640  0.000
Ru  0.640  0.140  0.000
Ru  0.140  0.360  0.000
Ca  0.000  0.000  0.000
Ca  0.500  0.500  0.000
Sn  0.154  0.654  0.500
Sn  0.654  0.846  0.500
Sn  0.846  0.346  0.500
Sn  0.346  0.154  0.500

Summary:
Its space group is No. 127. For the calculated formation energy, the calculation gives -0.231 eV per atom. As for the calculated total energy: -5.943 eV/atom. The mass density comes out at 8.26 Mg/m³.

=====

Record 11
Density functional theory data (PBE) for an optimized crystal structure of Pm5Y3Ho3.

a = 5.608 Å, b = 9.727 Å, c = 9.727 Å
α = 120.00°, β = 90.00°, γ = 90.00°
Atoms (fractional coordinates):
Pm  0.500  0.333  0.667
Pm  0.500  0.667  0.333
Pm  0.500  0.272  0.272
Pm  0.500  0.000  0.728
Pm  0.500  0.728  0.000
Y  0.000  0.462  0.462
Y  0.000  0.538  0.000
Y  0.000  0.000  0.538
Ho  0.500  0.635  0.635
Ho  0.500  0.000  0.365
Ho  0.500  0.365  0.000

Summary:
Its space group is No. 189. For the calculated formation energy, the calculation gives 0.790 eV per atom. As for the calculated total energy: -4.381 eV/atom. The mass density comes out at 5.37 Mg/m³.

=====

Record 12
Density functional theory data (PBE) for an optimized crystal structure of SmDy2Ho6Er3.

a = 6.110 Å, b = 6.110 Å, c = 11.695 Å
α = 94.98°, β = 94.98°, γ = 119.94°
Atoms (fractional coordinates):
Sm  0.000  0.000  0.000
Dy  0.333  0.667  0.000
Dy  0.667  0.333  0.000
Ho  0.915  0.582  0.748
Ho  0.751  0.751  0.252
Ho  0.085  0.418  0.252
Ho  0.582  0.915  0.748
Ho  0.249  0.249  0.748
Ho  0.418  0.085  0.252
Er  0.167  0.833  0.500
Er  0.833  0.167  0.500
Er  0.500  0.500  0.500

Summary:
Its space group is No. 12. For the calculated formation energy, the calculation gives 0.019 eV per atom. As for the calculated total energy: -4.571 eV/atom. The mass density comes out at 8.76 Mg/m³.

=====

Copy entry 8 word for word.
Density functional theory data (PBE) for an optimized crystal structure of Tm2CuBr.

a = 3.936 Å, b = 3.936 Å, c = 7.742 Å
α = 75.27°, β = 75.27°, γ = 60.00°
Atoms (fractional coordinates):
Tm  0.734  0.734  0.797
Tm  0.266  0.266  0.203
Cu  0.000  0.000  0.000
Br  0.500  0.500  0.500

Summary:
Its space group is No. 166. Its formation energy (no corrections) is -0.60 eV per atom. As for the calculated total energy: -4.278 eV/atom. The mass density comes out at 8.05 Mg/m³. Its polymorph energy (0 for the lowest one) is 0 meV/atom.